The following is a GGA-PBE calculation of an optimized crystal structure of Cu2RhS4, from the Alexandria database.

For the energy above the most stable polymorph in this dataset, the calculation gives 0.554 eV per atom. The total energy comes out at -29.80 eV per formula unit. The value obtained for the energy relative to the elements, uncorrected is 0.32 eV/atom. The density of states at the Fermi level is 1.136 states/eV per atom. For the magnetic moment, the calculation gives 0.0000 μB per atom.

The structure belongs to space group I4/mmm (No. 139); the cell edges are 4.767, 4.767 and 11.204 Å and the angles 90.00°, 90.00° and 90.00°. The inequivalent atoms are Cu at (0.000, 0.000, 0.105), Rh at (0.000, 0.000, 0.500), S at (0.000, 0.000, 0.294) and S at (0.000, 0.500, 0.000).

The following is a GGA-PBE calculation of an optimized crystal structure of TlPdF2, from the Alexandria database.

For the energy above the most stable polymorph in this dataset, the calculation gives 0.000 eV per atom. The total energy comes out at -15.62 eV per formula unit. The value obtained for the energy relative to the elements, uncorrected is -1.08 eV/atom. The density of states at the Fermi level is 0.349 states/eV per atom. For the magnetic moment, the calculation gives 0.0000 μB per atom.

The structure belongs to space group R-3m (No. 166, hexagonal axes); the cell edges are 3.3537, 3.3537 and 23.3422 Å and the angles 90.00°, 90.00° and 120.00°. The inequivalent atoms are Tl at (0.0000, 0.0000, 0.0000), Pd at (0.0000, 0.0000, 0.5000) and F at (0.0000, 0.0000, 0.4138).

The following is a GGA-PBE calculation of an optimized crystal structure of CdCN2, from the Alexandria database.

The total energy comes out at -21.19 eV per formula unit. The value obtained for the energy relative to the elements, uncorrected is 1.40 eV/atom. The density of states at the Fermi level is 0.303 states/eV per atom. For the magnetic moment, the calculation gives 0.5000 μB per atom.

The structure belongs to space group R3m (No. 160, hexagonal axes); the cell edges are 3.7418, 3.7418 and 18.2300 Å and the angles 90.00°, 90.00° and 120.00°. The inequivalent atoms are Cd at (0.0000, 0.0000, 0.0000), C at (0.0000, 0.0000, 0.5924), N at (0.0000, 0.0000, 0.3722) and N at (0.0000, 0.0000, 0.5277).

The following is a GGA-PBE calculation of an optimized crystal structure of TaZn4Mo, from the Alexandria database.

The total energy comes out at -28.13 eV per formula unit. The density of states at the Fermi level is 0.535 states/eV per atom. The value obtained for the calculated formation energy is -0.06 eV per atom. For the magnetic moment, the calculation gives 0.0000 μB per atom.

The structure belongs to space group F-43m (No. 216); the cell edges are 7.032, 7.032 and 7.032 Å and the angles 90.00°, 90.00° and 90.00°. The inequivalent atoms are Ta at (0.000, 0.000, 0.000), Zn at (0.125, 0.125, 0.625) and Mo at (0.250, 0.250, 0.250).

The following is a GGA-PBE calculation of an optimized crystal structure of Hf6AgN2, from the Alexandria database.

The total energy comes out at -80.96 eV per formula unit. The value obtained for the energy relative to the elements, uncorrected is -0.19 eV/atom. The density of states at the Fermi level is 0.705 states/eV per atom. For the magnetic moment, the calculation gives 0.0000 μB per atom.

The structure belongs to space group R3 (No. 146, hexagonal axes); the cell edges are 5.7080, 5.7080 and 21.3863 Å and the angles 90.00°, 90.00° and 120.00°. The inequivalent atoms are Hf at (0.0039, 0.6582, 0.0000), Hf at (0.0066, 0.3374, 0.7849), Ag at (0.0000, 0.0000, 0.5585), N at (0.0000, 0.0000, 0.1524) and N at (0.0000, 0.0000, 0.2974).

Which value of magnetic moment does entry 5 give? 0.0000 μB per atom